(1)
The following is a PBE calculation of Ca8CdIr2 after structural relaxation, from Alexandria.

```
data_Ca8CdIr2
_symmetry_space_group_name_H-M 'P 1'
_symmetry_Int_Tables_number 1
_symmetry_space_group_name_Hall 'P 1'
_cell_length_a 6.760
_cell_length_b 7.671
_cell_length_c 8.246
_cell_angle_alpha 112.73
_cell_angle_beta 108.90
_cell_angle_gamma 100.82
loop_
_atom_site_label
_atom_site_fract_x
_atom_site_fract_y
_atom_site_fract_z
_atom_site_occupancy
Ca1 0.000 0.000 0.000 1
Ca2 0.004 0.474 0.780 1
Ca3 0.252 0.539 0.280 1
Ca4 0.336 0.228 0.548 1
Ca5 0.406 0.898 0.779 1
Ca6 0.632 0.595 0.001 1
Ca7 0.662 0.334 0.280 1
Ca8 0.843 0.915 0.547 1
Cd1 0.415 0.897 0.200 1
Ir1 0.267 0.247 0.901 1
Ir2 0.640 0.620 0.647 1
```

Results
Formation energy   -0.271 eV per atom
ρ   3.90 g cm⁻³
Uncorrected energy   -3.421 eV/atom
Calculated volume   348 Å³ per cell
Space-group type   No. 1

=====

(2)
The following is a PBE calculation of Y12HoIn3 after structural relaxation, from Alexandria.

```
data_Y12HoIn3
_symmetry_space_group_name_H-M 'P 1'
_symmetry_Int_Tables_number 1
_symmetry_space_group_name_Hall 'P 1'
_cell_length_a 4.880
_cell_length_b 4.880
_cell_length_c 19.889
_cell_angle_alpha 90.00
_cell_angle_beta 90.00
_cell_angle_gamma 90.00
loop_
_atom_site_label
_atom_site_fract_x
_atom_site_fract_y
_atom_site_fract_z
_atom_site_occupancy
Y1 0.000 0.000 0.000 1
Y2 0.000 0.000 0.245 1
Y3 0.000 0.000 0.500 1
Y4 0.000 0.000 0.755 1
Y5 0.000 0.500 0.123 1
Y6 0.000 0.500 0.369 1
Y7 0.000 0.500 0.631 1
Y8 0.000 0.500 0.877 1
Y9 0.500 0.000 0.123 1
Y10 0.500 0.000 0.369 1
Y11 0.500 0.000 0.631 1
Y12 0.500 0.000 0.877 1
Ho1 0.500 0.500 0.500 1
In1 0.500 0.500 0.000 1
In2 0.500 0.500 0.244 1
In3 0.500 0.500 0.756 1
```

Results
Formation energy   -0.196 eV per atom
ρ   5.53 g cm⁻³
Uncorrected energy   -5.843 eV/atom
Calculated volume   474 Å³ per cell
Space-group type   No. 123

=====

(3)
The following is a PBE calculation of Si2BI8 after structural relaxation, from Alexandria.

```
data_Si2BI8
_symmetry_space_group_name_H-M 'P 1'
_symmetry_Int_Tables_number 1
_symmetry_space_group_name_Hall 'P 1'
_cell_length_a 7.690
_cell_length_b 7.690
_cell_length_c 9.622
_cell_angle_alpha 94.30
_cell_angle_beta 94.30
_cell_angle_gamma 72.38
loop_
_atom_site_label
_atom_site_fract_x
_atom_site_fract_y
_atom_site_fract_z
_atom_site_occupancy
Si1 0.131 0.131 0.175 1
Si2 0.869 0.869 0.825 1
B1 0.000 0.000 0.000 1
I1 0.111 0.654 0.684 1
I2 0.123 0.123 0.836 1
I3 0.328 0.328 0.139 1
I4 0.346 0.889 0.316 1
I5 0.654 0.111 0.684 1
I6 0.672 0.672 0.861 1
I7 0.877 0.877 0.164 1
I8 0.889 0.346 0.316 1
```

Results
ρ   3.33 g cm⁻³
Uncorrected energy   -2.667 eV/atom
Calculated volume   540 Å³ per cell
Energy relative to the elements, uncorrected   0.053 eV per atom
Space-group type   No. 12

=====

(4)
The following is a PBE calculation of Cs2CuAgI4 after structural relaxation, from Alexandria.

```
data_Cs2CuAgI4
_symmetry_space_group_name_H-M 'P 1'
_symmetry_Int_Tables_number 1
_symmetry_space_group_name_Hall 'P 1'
_cell_length_a 16.830
_cell_length_b 14.896
_cell_length_c 8.876
_cell_angle_alpha 86.22
_cell_angle_beta 62.03
_cell_angle_gamma 31.75
loop_
_atom_site_label
_atom_site_fract_x
_atom_site_fract_y
_atom_site_fract_z
_atom_site_occupancy
Cs1 0.048 0.048 0.702 1
Cs2 0.298 0.298 0.952 1
Cs3 0.702 0.702 0.048 1
Cs4 0.952 0.952 0.298 1
Cu1 0.375 0.375 0.375 1
Cu2 0.625 0.625 0.625 1
Ag1 0.125 0.125 0.125 1
Ag2 0.875 0.875 0.875 1
I1 0.009 0.355 0.441 1
I2 0.305 0.559 0.645 1
I3 0.355 0.009 0.695 1
I4 0.441 0.695 0.009 1
I5 0.559 0.305 0.991 1
I6 0.645 0.991 0.305 1
I7 0.695 0.441 0.355 1
I8 0.991 0.645 0.559 1
```

Results
ρ   4.35 g cm⁻³
Uncorrected energy   -2.720 eV/atom
Calculated volume   721 Å³ per cell
Energy relative to the elements, uncorrected   -0.863 eV per atom
Space-group type   No. 70

=====

Among the records above, which one has the lowest uncorrected energy?
Y12HoIn3